[1]
# LiPClF6

Crystalline LiPClF6 at its relaxed geometry (PBE, Alexandria via LeMat-Bulk).

Computed properties:
Volume, Å³/cell: 154.3
E_form (uncorrected), eV/atom: -2.237
Symmetry: P312 (149)

POSCAR file:
```
LiPClF6
1.0
5.057 0.000 0.000
-2.528 4.379 0.000
0.000 0.000 6.968
Li P Cl F
1 1 1 6
Direct
0.000 0.000 0.000
0.333 0.667 0.000
0.667 0.333 0.500
0.072 0.397 0.135
0.072 0.675 0.865
0.325 0.397 0.865
0.325 0.928 0.135
0.603 0.675 0.135
0.603 0.928 0.865
```

[2]
# LiPbClF2

Crystalline LiPbClF2 at its relaxed geometry (PBE, Alexandria via LeMat-Bulk).

Computed properties:
Volume, Å³/cell: 168.5
E_form (uncorrected), eV/atom: -2.205
Symmetry: Cmcm (63)

POSCAR file:
```
LiPbClF2
1.0
1.967 -5.694 0.000
1.967 5.694 0.000
0.000 0.000 7.524
Li Pb Cl F
2 2 2 4
Direct
0.000 0.000 0.000
0.000 0.000 0.500
0.274 0.726 0.750
0.726 0.274 0.250
0.460 0.540 0.250
0.540 0.460 0.750
0.161 0.839 0.057
0.161 0.839 0.443
0.839 0.161 0.557
0.839 0.161 0.943
```

[3]
# LiPdClF2

Crystalline LiPdClF2 at its relaxed geometry (PBE, Alexandria via LeMat-Bulk).

Computed properties:
Volume, Å³/cell: 103.0
E_form (uncorrected), eV/atom: -0.506
Symmetry: P4/mmm (123)

POSCAR file:
```
LiPdClF2
1.0
4.874 0.000 0.000
0.000 4.874 0.000
0.000 0.000 4.337
Li Pd Cl F
1 1 1 2
Direct
0.000 0.000 0.000
0.500 0.500 0.000
0.500 0.500 0.500
0.000 0.500 0.500
0.500 0.000 0.500
```

[4]
# LiPuClF4

Crystalline LiPuClF4 at its relaxed geometry (PBE, Alexandria via LeMat-Bulk).

Computed properties:
Volume, Å³/cell: 248.2
E_form (uncorrected), eV/atom: -2.986
Symmetry: C2/m (12)

POSCAR file:
```
LiPuClF4
1.0
5.168 -3.594 0.000
5.168 3.594 0.000
-2.308 0.000 6.682
Li Pu Cl F
2 2 2 8
Direct
0.128 0.128 0.260
0.872 0.872 0.740
0.275 0.275 0.857
0.725 0.725 0.143
0.489 0.489 0.226
0.511 0.511 0.774
0.014 0.413 0.157
0.064 0.064 0.831
0.196 0.196 0.541
0.413 0.014 0.157
0.587 0.986 0.843
0.804 0.804 0.459
0.936 0.936 0.169
0.986 0.587 0.843
```

[5]
# RbLi2ClF2

Crystalline RbLi2ClF2 at its relaxed geometry (PBE, Alexandria via LeMat-Bulk).

Computed properties:
Volume, Å³/cell: 243.6
E_form (uncorrected), eV/atom: -2.467
Symmetry: P2_1/m (11)

POSCAR file:
```
RbLi2ClF2
1.0
6.303 0.000 0.000
0.000 5.273 0.000
-2.096 0.000 7.330
Rb Li Cl F
2 4 2 4
Direct
0.163 0.250 0.344
0.837 0.750 0.656
0.359 0.004 0.797
0.359 0.496 0.797
0.641 0.504 0.203
0.641 0.996 0.203
0.313 0.750 0.054
0.687 0.250 0.946
0.159 0.250 0.706
0.393 0.750 0.648
0.607 0.250 0.352
0.841 0.750 0.294
```

[6]
# Rb2LiCl6F

Crystalline Rb2LiCl6F at its relaxed geometry (PBE, Alexandria via LeMat-Bulk).

Computed properties:
Volume, Å³/cell: 274.4
E_form (uncorrected), eV/atom: -0.922
Symmetry: I4/mmm (139)

POSCAR file:
```
Rb2LiCl6F
1.0
-3.884 3.884 4.547
3.884 -3.884 4.547
3.884 3.884 -4.547
Rb Li Cl F
2 1 6 1
Direct
0.250 0.750 0.500
0.750 0.250 0.500
0.000 0.000 0.000
0.217 0.217 0.434
0.217 0.783 0.000
0.281 0.281 0.000
0.719 0.719 0.000
0.783 0.217 0.000
0.783 0.783 0.566
0.500 0.500 0.000
```

[7]
# Rb3Li2Cl3F2

Crystalline Rb3Li2Cl3F2 at its relaxed geometry (PBE, Alexandria via LeMat-Bulk).

Computed properties:
Volume, Å³/cell: 244.6
E_form (uncorrected), eV/atom: -2.197
Symmetry: I4/mmm (139)

POSCAR file:
```
Rb3Li2Cl3F2
1.0
-2.208 2.208 12.539
2.208 -2.208 12.539
2.208 2.208 -12.539
Rb Li Cl F
3 2 3 2
Direct
0.000 0.000 0.000
0.358 0.358 0.000
0.642 0.642 0.000
0.230 0.230 0.000
0.770 0.770 0.000
0.132 0.132 0.000
0.500 0.500 0.000
0.868 0.868 0.000
0.250 0.750 0.500
0.750 0.250 0.500
```

[8]
# Rb2LiClF6

Crystalline Rb2LiClF6 at its relaxed geometry (PBE, Alexandria via LeMat-Bulk).

Computed properties:
Volume, Å³/cell: 159.6
E_form (uncorrected), eV/atom: -1.846
Symmetry: I4/mmm (139)

POSCAR file:
```
Rb2LiClF6
1.0
-3.125 3.125 4.086
3.125 -3.125 4.086
3.125 3.125 -4.086
Rb Li Cl F
2 1 1 6
Direct
0.250 0.750 0.500
0.750 0.250 0.500
0.000 0.000 0.000
0.500 0.500 0.000
0.229 0.229 0.457
0.229 0.771 0.000
0.281 0.281 0.000
0.719 0.719 0.000
0.771 0.229 0.000
0.771 0.771 0.543
```

[9]
# LiRuCl2F

Crystalline LiRuCl2F at its relaxed geometry (PBE, Alexandria via LeMat-Bulk).

Computed properties:
Volume, Å³/cell: 96.2
E_form (uncorrected), eV/atom: 0.106
Symmetry: P4/mmm (123)

POSCAR file:
```
LiRuCl2F
1.0
4.280 0.000 0.000
0.000 4.280 0.000
0.000 0.000 5.251
Li Ru Cl F
1 1 2 1
Direct
0.000 0.000 0.000
0.000 0.000 0.500
0.000 0.500 0.000
0.500 0.000 0.000
0.500 0.500 0.500
```

[10]
# LiSCl2F

Crystalline LiSCl2F at its relaxed geometry (PBE, Alexandria via LeMat-Bulk).

Computed properties:
Volume, Å³/cell: 111.2
E_form (uncorrected), eV/atom: -0.241
Symmetry: P4/mmm (123)

POSCAR file:
```
LiSCl2F
1.0
5.524 0.000 0.000
0.000 5.524 0.000
0.000 0.000 3.644
Li S Cl F
1 1 2 1
Direct
0.000 0.000 0.000
0.500 0.500 0.000
0.000 0.500 0.500
0.500 0.000 0.500
0.500 0.500 0.500
```

[11]
# LiSCl2F

Crystalline LiSCl2F at its relaxed geometry (PBE, Alexandria via LeMat-Bulk).

Computed properties:
Volume, Å³/cell: 111.2
E_form (uncorrected), eV/atom: 0.043
Symmetry: P4/mmm (123)

POSCAR file:
```
LiSCl2F
1.0
4.499 0.000 0.000
0.000 4.499 0.000
0.000 0.000 5.493
Li S Cl F
1 1 2 1
Direct
0.000 0.000 0.000
0.000 0.000 0.500
0.000 0.500 0.000
0.500 0.000 0.000
0.500 0.500 0.500
```

[12]
# LiSc2ClF

Crystalline LiSc2ClF at its relaxed geometry (PBE, Alexandria via LeMat-Bulk).

Computed properties:
Volume, Å³/cell: 121.9
E_form (uncorrected), eV/atom: -0.574
Symmetry: P4/mmm (123)

POSCAR file:
```
LiSc2ClF
1.0
4.777 0.000 0.000
0.000 4.777 0.000
0.000 0.000 5.341
Li Sc Cl F
1 2 1 1
Direct
0.000 0.000 0.000
0.000 0.500 0.500
0.500 0.000 0.500
0.500 0.500 0.500
0.500 0.500 0.000
```

[13]
# LiSe2ClF

Crystalline LiSe2ClF at its relaxed geometry (PBE, Alexandria via LeMat-Bulk).

Computed properties:
Volume, Å³/cell: 124.8
E_form (uncorrected), eV/atom: -0.276
Symmetry: P4/mmm (123)

POSCAR file:
```
LiSe2ClF
1.0
4.283 0.000 0.000
0.000 4.283 0.000
0.000 0.000 6.804
Li Se Cl F
1 2 1 1
Direct
0.000 0.000 0.000
0.000 0.500 0.500
0.500 0.000 0.500
0.500 0.500 0.000
0.500 0.500 0.500
```

[14]
# Li2SnClF

Crystalline Li2SnClF at its relaxed geometry (PBE, Alexandria via LeMat-Bulk).

Computed properties:
Volume, Å³/cell: 166.2
E_form (uncorrected), eV/atom: -0.451
Symmetry: P4/mmm (123)

POSCAR file:
```
Li2SnClF
1.0
5.656 0.000 0.000
0.000 5.656 0.000
0.000 0.000 5.194
Li Sn Cl F
2 1 1 1
Direct
0.000 0.500 0.000
0.500 0.000 0.000
0.000 0.000 0.000
0.000 0.000 0.500
0.500 0.500 0.500
```

[15]
# Li3TcCl2F6

Crystalline Li3TcCl2F6 at its relaxed geometry (PBE, Alexandria via LeMat-Bulk).

Computed properties:
Volume, Å³/cell: 191.1
E_form (uncorrected), eV/atom: -2.089
Symmetry: C2/m (12)

POSCAR file:
```
Li3TcCl2F6
1.0
6.239 -3.074 0.000
6.239 3.074 0.000
-0.068 0.000 4.982
Li Tc Cl F
3 1 2 6
Direct
0.000 0.000 0.000
0.000 0.500 0.500
0.500 0.000 0.500
0.500 0.500 0.500
0.178 0.178 0.194
0.822 0.822 0.806
0.233 0.680 0.257
0.320 0.767 0.743
0.353 0.353 0.629
0.647 0.647 0.371
0.680 0.233 0.257
0.767 0.320 0.743
```